1.
Ti2CuReH GGA-PBE relaxed; total energy = -36.9 eV for the cell shown; symmetry = P4/mmm, No. 123; energy relative to the lowest polymorph listed for this composition = 0 meV/atom
1.0
-1.465 -0.981 -3.878
-0.881 -3.949 1.332
-3.080 0.995 0.912
Re H Cu Ti
1 1 1 2
Direct
0.500 0.500 0.500
0.000 0.000 0.000
0.000 0.000 0.500
0.000 0.500 0.000
0.500 0.000 0.000


2.
ZnTeIN2 GGA-PBE relaxed; total energy = -15.0 eV for the cell shown; symmetry = P4/mmm, No. 123; energy relative to the lowest polymorph listed for this composition = 263 meV/atom; energy relative to the elements, uncorrected = 1.524 eV per atom
1.0
-0.454 3.273 2.748
-2.264 -2.528 2.638
5.165 -1.666 2.837
I Zn Te N
1 1 1 2
Direct
0.500 0.500 0.500
0.000 0.000 0.000
0.000 0.000 0.500
0.000 0.500 0.000
0.500 0.000 0.000


3.
Sr2YCl GGA-PBE relaxed; total energy = -12.6 eV for the cell shown; symmetry = Pmmm, No. 47; energy relative to the lowest polymorph listed for this composition = 525 meV/atom; energy relative to the elements, uncorrected = -0.219 eV per atom
1.0
4.220 0.000 0.000
0.000 7.161 0.000
0.000 0.000 5.407
Cl Sr Y
1 2 1
Direct
0.000 0.500 0.500
0.000 0.000 0.000
0.500 0.500 0.000
0.500 0.000 0.500


4.
CaTcPt2 GGA-PBE relaxed; total energy = -24.1 eV for the cell shown; formation energy from the elements = 0.091 eV/atom; symmetry = F-43m, No. 216; energy relative to the lowest polymorph listed for this composition = 383 meV/atom
1.0
4.606 0.000 0.000
2.303 3.989 0.000
2.303 1.330 3.761
Ca Tc Pt
1 1 2
Direct
0.500 0.500 0.500
0.750 0.750 0.750
0.000 0.000 0.000
0.250 0.250 0.250


5.
Ti17N6O24 GGA-PBE relaxed; total energy = -855.7 eV for the cell shown; symmetry = Pmmn, No. 59; energy relative to the lowest polymorph listed for this composition = 1 meV/atom; energy relative to the elements, uncorrected = -2.653 eV per atom
1.0
-3.834 -5.205 -7.176
-3.487 -6.638 6.678
-9.738 5.984 0.863
Ti N O
34 12 48
Direct
0.113 0.179 0.000
0.386 0.693 0.000
0.113 0.821 0.000
0.052 0.500 0.000
0.386 0.307 0.000
0.888 0.677 0.167
0.607 0.173 0.162
0.888 0.323 0.167
0.944 0.000 0.165
0.607 0.827 0.162
0.552 0.500 0.162
0.056 0.500 0.335
0.112 0.823 0.333
0.393 0.327 0.338
0.393 0.673 0.338
0.112 0.177 0.333
0.448 0.000 0.338
0.887 0.321 0.500
0.948 0.000 0.500
0.614 0.807 0.500
0.614 0.193 0.500
0.887 0.679 0.500
0.393 0.327 0.662
0.112 0.823 0.667
0.112 0.177 0.667
0.448 0.000 0.662
0.056 0.500 0.665
0.393 0.673 0.662
0.888 0.323 0.833
0.552 0.500 0.838
0.607 0.173 0.838
0.888 0.677 0.833
0.944 0.000 0.835
0.607 0.827 0.838
0.015 0.000 0.000
0.478 0.500 0.000
0.981 0.500 0.168
0.532 0.000 0.183
0.019 0.000 0.332
0.468 0.500 0.317
0.985 0.500 0.500
0.522 0.000 0.500
0.019 0.000 0.668
0.468 0.500 0.683
0.532 0.000 0.817
0.981 0.500 0.832
0.932 0.317 0.000
0.293 0.140 0.000
0.200 0.628 0.000
0.575 0.804 0.000
0.293 0.860 0.000
0.932 0.683 0.000
0.200 0.372 0.000
0.575 0.196 0.000
0.798 0.868 0.167
0.798 0.132 0.167
0.441 0.310 0.164
0.061 0.186 0.166
0.061 0.814 0.166
0.441 0.690 0.164
0.703 0.630 0.170
0.703 0.370 0.170
0.939 0.314 0.334
0.939 0.686 0.334
0.202 0.632 0.333
0.297 0.870 0.330
0.202 0.368 0.333
0.559 0.810 0.336
0.297 0.130 0.330
0.559 0.190 0.336
0.068 0.183 0.500
0.068 0.817 0.500
0.425 0.304 0.500
0.707 0.360 0.500
0.800 0.872 0.500
0.800 0.128 0.500
0.425 0.696 0.500
0.707 0.640 0.500
0.939 0.314 0.666
0.202 0.368 0.667
0.297 0.130 0.670
0.297 0.870 0.670
0.559 0.190 0.664
0.559 0.810 0.664
0.939 0.686 0.666
0.202 0.632 0.667
0.441 0.310 0.836
0.441 0.690 0.836
0.703 0.370 0.830
0.703 0.630 0.830
0.798 0.868 0.833
0.798 0.132 0.833
0.061 0.186 0.834
0.061 0.814 0.834


6.
Tm3SbTe3 GGA-PBE relaxed; total energy = -68.7 eV for the cell shown; symmetry = R-3, No. 148; energy relative to the elements, uncorrected = -1.055 eV per atom
1.0
-3.496 -2.784 -6.198
4.018 -1.399 -6.347
2.111 -11.530 -0.722
Tm Sb Te
6 2 6
Direct
0.314 0.565 0.183
0.939 0.314 0.183
0.565 0.939 0.183
0.435 0.061 0.817
0.061 0.686 0.817
0.686 0.435 0.817
0.333 0.333 0.000
0.667 0.667 0.000
0.407 0.804 0.683
0.804 0.106 0.683
0.106 0.407 0.683
0.894 0.593 0.317
0.196 0.894 0.317
0.593 0.196 0.317


7.
AcPm2TmTl2 GGA-PBE relaxed; total energy = -48.6 eV for the cell shown; formation energy from the elements = -0.248 eV/atom; symmetry = Pmc2_1, No. 26
1.0
4.884 0.000 0.000
0.000 8.537 0.000
0.000 0.000 9.541
Ac Pm Tm Tl
2 4 2 4
Direct
0.000 0.983 0.417
0.000 0.483 0.583
0.500 0.033 0.079
0.000 0.367 0.175
0.500 0.533 0.921
0.000 0.867 0.825
0.500 0.149 0.690
0.500 0.649 0.310
0.000 0.239 0.872
0.500 0.274 0.377
0.000 0.739 0.128
0.500 0.774 0.623


8.
NdDy2Th3S6 GGA-PBE relaxed; total energy = -83.9 eV for the cell shown; symmetry = C2/m, No. 12; energy relative to the elements, uncorrected = -1.905 eV per atom
1.0
6.838 0.022 0.009
-3.398 5.934 0.009
-1.138 -1.970 6.682
Nd Dy Th S
1 2 3 6
Direct
0.000 0.000 0.000
0.333 0.667 0.000
0.667 0.333 0.000
0.162 0.838 0.500
0.838 0.162 0.500
0.500 0.500 0.500
0.920 0.578 0.759
0.736 0.736 0.235
0.080 0.422 0.241
0.578 0.920 0.759
0.264 0.264 0.765
0.422 0.080 0.241